(1)
# KTlPd

A relaxed KTlPd crystal (GGA-PBE, OQMD via LeMat-Bulk).

The uncorrected energy is -2.864 eV per atom.

The space group is F-43m (No. 216) and the conventional cell measures 7.1141, 7.1141 and 7.1141 Å, with angles of 90.00, 90.00 and 90.00 degrees. Symmetry generates all atoms from K at (0.0000, 0.0000, 0.0000), Tl at (0.0000, 0.0000, 0.5000) and Pd at (0.2500, 0.2500, 0.2500).

=====

(2)
# KTl2Pd2

A relaxed KTl2Pd2 crystal (GGA-PBE, OQMD via LeMat-Bulk).

The uncorrected energy is -3.371 eV per atom.

The space group is I4/mmm (No. 139) and the conventional cell measures 4.7978, 4.7978 and 11.3750 Å, with angles of 90.00, 90.00 and 90.00 degrees. Symmetry generates all atoms from K at (0.0000, 0.0000, 0.0000), Tl at (0.0000, 0.5000, 0.2500) and Pd at (0.0000, 0.0000, 0.3823).

=====

(3)
# KPdW

A relaxed KPdW crystal (GGA-PBE, OQMD via LeMat-Bulk).

The uncorrected energy is -3.867 eV per atom. The relative energy among the computed polymorphs comes out at 0.718 eV per atom. The total moment comes out at 1.558 μB/atom.

The space group is F-43m (No. 216) and the conventional cell measures 6.9589, 6.9589 and 6.9589 Å, with angles of 90.00, 90.00 and 90.00 degrees. Symmetry generates all atoms from K at (0.0000, 0.0000, 0.0000), Pd at (0.2500, 0.2500, 0.7500) and W at (0.2500, 0.2500, 0.2500).

=====

(4)
# KPdW

A relaxed KPdW crystal (GGA-PBE, OQMD via LeMat-Bulk).

The uncorrected energy is -4.585 eV per atom. The relative energy among the computed polymorphs comes out at 0.000 eV per atom. The total moment comes out at 0.986 μB/atom.

The space group is F-43m (No. 216) and the conventional cell measures 6.6970, 6.6970 and 6.6970 Å, with angles of 90.00, 90.00 and 90.00 degrees. Symmetry generates all atoms from K at (0.0000, 0.0000, 0.0000), Pd at (0.2500, 0.2500, 0.2500) and W at (0.0000, 0.0000, 0.5000).

=====

(5)
# KYPd

A relaxed KYPd crystal (GGA-PBE, OQMD via LeMat-Bulk).

The uncorrected energy is -4.187 eV per atom. The total moment comes out at 0.000 μB/atom.

The space group is F-43m (No. 216) and the conventional cell measures 7.1303, 7.1303 and 7.1303 Å, with angles of 90.00, 90.00 and 90.00 degrees. Symmetry generates all atoms from K at (0.0000, 0.0000, 0.0000), Y at (0.0000, 0.0000, 0.5000) and Pd at (0.2500, 0.2500, 0.2500).

=====

(6)
# KZnPd

A relaxed KZnPd crystal (GGA-PBE, OQMD via LeMat-Bulk).

The uncorrected energy is -1.812 eV per atom. The relative energy among the computed polymorphs comes out at 0.511 eV per atom.

The space group is F-43m (No. 216) and the conventional cell measures 7.1641, 7.1641 and 7.1641 Å, with angles of 90.00, 90.00 and 90.00 degrees. Symmetry generates all atoms from K at (0.0000, 0.0000, 0.0000), Zn at (0.2500, 0.2500, 0.2500) and Pd at (0.2500, 0.2500, 0.7500).

=====

(7)
# KZnPd

A relaxed KZnPd crystal (GGA-PBE, OQMD via LeMat-Bulk).

The uncorrected energy is -2.323 eV per atom. The relative energy among the computed polymorphs comes out at 0.000 eV per atom.

The space group is F-43m (No. 216) and the conventional cell measures 6.8050, 6.8050 and 6.8050 Å, with angles of 90.00, 90.00 and 90.00 degrees. Symmetry generates all atoms from K at (0.0000, 0.0000, 0.0000), Zn at (0.0000, 0.0000, 0.5000) and Pd at (0.2500, 0.2500, 0.2500).

=====

(8)
# KPmPt4

A relaxed KPmPt4 crystal (GGA-PBE, OQMD via LeMat-Bulk).

The uncorrected energy is -5.685 eV per atom. The total moment comes out at 0.002 μB/atom.

The space group is F-43m (No. 216) and the conventional cell measures 7.7967, 7.7967 and 7.7967 Å, with angles of 90.00, 90.00 and 90.00 degrees. Symmetry generates all atoms from K at (0.0000, 0.0000, 0.0000), Pm at (0.2500, 0.2500, 0.2500) and Pt at (0.1250, 0.1250, 0.6250).

=====

(9)
# KPmPu

A relaxed KPmPu crystal (GGA-PBE, OQMD via LeMat-Bulk).

The uncorrected energy is -5.426 eV per atom. The total moment comes out at 2.867 μB/atom.

The space group is F-43m (No. 216) and the conventional cell measures 7.9339, 7.9339 and 7.9339 Å, with angles of 90.00, 90.00 and 90.00 degrees. Symmetry generates all atoms from K at (0.0000, 0.0000, 0.0000), Pm at (0.0000, 0.0000, 0.5000) and Pu at (0.2500, 0.2500, 0.2500).

=====

(10)
# KPmRe

A relaxed KPmRe crystal (GGA-PBE, OQMD via LeMat-Bulk).

The uncorrected energy is -4.242 eV per atom. The relative energy among the computed polymorphs comes out at 0.000 eV per atom. The total moment comes out at 0.381 μB/atom.

The space group is F-43m (No. 216) and the conventional cell measures 7.0897, 7.0897 and 7.0897 Å, with angles of 90.00, 90.00 and 90.00 degrees. Symmetry generates all atoms from K at (0.0000, 0.0000, 0.0000), Pm at (0.2500, 0.2500, 0.2500) and Re at (0.0000, 0.0000, 0.5000).

=====

(11)
# KPmSb

A relaxed KPmSb crystal (GGA-PBE, OQMD via LeMat-Bulk).

The uncorrected energy is -3.410 eV per atom. The relative energy among the computed polymorphs comes out at 0.000 eV per atom. The total moment comes out at 0.069 μB/atom.

The space group is F-43m (No. 216) and the conventional cell measures 7.6206, 7.6206 and 7.6206 Å, with angles of 90.00, 90.00 and 90.00 degrees. Symmetry generates all atoms from K at (0.0000, 0.0000, 0.0000), Pm at (0.2500, 0.2500, 0.2500) and Sb at (0.0000, 0.0000, 0.5000).

=====

(12)
# KPmSi

A relaxed KPmSi crystal (GGA-PBE, OQMD via LeMat-Bulk).

The uncorrected energy is -3.661 eV per atom. The relative energy among the computed polymorphs comes out at 0.000 eV per atom. The total moment comes out at 0.000 μB/atom.

The space group is F-43m (No. 216) and the conventional cell measures 7.3722, 7.3722 and 7.3722 Å, with angles of 90.00, 90.00 and 90.00 degrees. Symmetry generates all atoms from K at (0.0000, 0.0000, 0.0000), Pm at (0.0000, 0.0000, 0.5000) and Si at (0.2500, 0.2500, 0.2500).